DFT (PBE) results for an optimized crystal structure of Pm6Ge2RhS3.

Unit cell a=4.125 b=8.361 c=9.319 alpha=103.50 beta=102.79 gamma=90.00
Fractional coordinates of all 12 atoms:
Pm  0.337  0.918  0.673
Pm  0.667  0.586  0.334
Pm  0.663  0.082  0.327
Pm  0.000  0.245  0.001
Pm  0.000  0.755  0.999
Pm  0.333  0.414  0.666
Ge  0.834  0.666  0.668
Ge  0.166  0.334  0.332
Rh  0.500  0.000  0.000
S  0.500  0.500  0.000
S  0.831  0.166  0.663
S  0.169  0.834  0.337

Values from the calculation:
Formation energy without anion corrections in meV per atom: -1373
Calculated volume in Å³/atom: 25.36

---

DFT (PBE) results for an optimized crystal structure of PmGeSbRh.

Unit cell a=4.941 b=4.941 c=4.941 alpha=60.00 beta=60.00 gamma=60.00
Fractional coordinates of all 4 atoms:
Sb  0.250  0.250  0.250
Ge  0.500  0.500  0.500
Rh  0.000  0.000  0.000
Pm  0.750  0.750  0.750

Values from the calculation:
Formation energy without anion corrections in meV per atom: -381
Calculated volume in Å³/atom: 21.32

---

DFT (PBE) results for an optimized crystal structure of PmGe2SbRh5.

Unit cell a=4.120 b=4.120 c=10.546 alpha=90.00 beta=90.00 gamma=90.00
Fractional coordinates of all 9 atoms:
Pm  0.000  0.000  0.500
Ge  0.500  0.500  0.275
Ge  0.500  0.500  0.725
Sb  0.000  0.000  0.000
Rh  0.000  0.500  0.153
Rh  0.500  0.000  0.153
Rh  0.000  0.500  0.847
Rh  0.500  0.000  0.847
Rh  0.500  0.500  0.500

Values from the calculation:
Formation energy without anion corrections in meV per atom: -476
Calculated volume in Å³/atom: 19.89